Below is Re5Tc3 after structural relaxation, with properties calculated at the GGA-PBEsol level.

abc: 5.4681 5.4681 3.8597
angles: 90.00 90.00 90.01
With the nearest neighbours (Å) after each atom.
Element x y z (fractional)
Re 0.0000 0.0000 0.0000  8 Re 2.73-2.74, 4 Tc 2.74
Re 0.0000 0.5000 0.0000  6 Tc 2.73, 6 Re 2.73
Re 0.2509 0.2509 0.5000  6 Tc 2.72-2.75, 6 Re 2.73-2.74
Re 0.5000 0.0000 0.0000  6 Tc 2.73, 6 Re 2.73
Re 0.7491 0.7491 0.5000  6 Tc 2.72-2.75, 6 Re 2.73-2.74
Tc 0.2511 0.7489 0.5000  10 Re 2.72-2.75, 2 Tc 2.73
Tc 0.5000 0.5000 0.0000  4 Tc 2.73, 8 Re 2.73
Tc 0.7489 0.2511 0.5000  10 Re 2.72-2.75, 2 Tc 2.73

Properties
space group: Cmmm (65)
E_form: 6.0 kJ/mol of atoms
total energy: -12.495 eV per atom